This record from the Alexandria database describes a relaxed IrPtPb2O crystal. The functional is PBE.

## Properties
E_form (uncorrected): -160 meV per atom
Total energy: -0.413 Ry per atom
Energy above the lowest structure with this stoichiometry: 8.5 meV per atom

abc: 3.472 3.722 8.558
angles: 90.00 91.78 90.00
Element x y z (fractional)
Ir: 0.443 0.000 0.932
Pt: 0.927 0.500 0.430
Pb: 0.923 0.000 0.672
Pb: 0.410 0.000 0.267
O: 0.445 0.500 0.939